# Mg2ZrSiNi

Mg2ZrSiNi after structural relaxation (PBE, Alexandria).

Results
* E_tot: -15.72 eV/cell
* offset from the most stable computed form: 1257 meV/atom
* magnetization: 1.37 μB per formula unit
* volume: 150.4 Å³/cell
* formation energy without anion corrections: 1.45 eV/atom

Cell lengths 5.5037, 4.9663, 5.5037 Å; angles 90.00, 90.00, 90.00 degrees
Last column: nearest neighbours and their distance in Å.
Fractional positions:
1 Mg 0.0000 0.0000 0.5000  2 Zr 2.75
2 Mg 0.5000 0.0000 0.0000  2 Zr 2.75
3 Zr 0.0000 0.0000 0.0000  2 Si 2.48, 4 Mg 2.75
4 Si 0.0000 0.5000 0.0000  2 Zr 2.48
5 Ni 0.5000 0.5000 0.5000  8 Mg 3.71, 4 Si 3.89

***

# Mg2ZrSiNi

Mg2ZrSiNi after structural relaxation (PBE, Alexandria).

Results
* E_tot: -22.00 eV/cell
* offset from the most stable computed form: 0 meV/atom
* magnetization: 0.00 μB per formula unit
* volume: 101.9 Å³/cell
* formation energy without anion corrections: 0.19 eV/atom

Cell lengths 4.5966, 4.8239, 4.5966 Å; angles 90.00, 90.00, 90.00 degrees
Last column: nearest neighbours and their distance in Å.
Fractional positions:
1 Ni 0.0000 0.0000 0.0000  4 Mg 2.30, 2 Zr 2.41
2 Mg 0.0000 0.0000 0.5000  2 Ni 2.30
3 Mg 0.5000 0.0000 0.0000  2 Ni 2.30
4 Si 0.5000 0.5000 0.5000  4 Zr 3.25, 8 Mg 3.33
5 Zr 0.0000 0.5000 0.0000  2 Ni 2.41

***

# SmMgNi2

SmMgNi2 after structural relaxation (PBE, Alexandria).

Results
* E_tot: -75.82 eV/cell
* ΔH_f (0 K): -0.2699 eV/atom
* magnetization: 0.00 μB per formula unit
* volume: 298.7 Å³/cell

Cell lengths 4.0176, 7.5069, 9.9030 Å; angles 90.00, 90.00, 90.00 degrees
Last column: nearest neighbours and their distance in Å.
Fractional positions:
1 Ni 0.7500 0.2461 0.0691  2 Ni 2.34
2 Ni 0.7500 0.3555 0.6629  2 Ni 2.34, 2 Mg 2.57-2.61
3 Ni 0.7500 0.8555 0.8371  2 Ni 2.34, 2 Mg 2.57-2.61
4 Ni 0.7500 0.7461 0.4309  2 Ni 2.34
5 Ni 0.2500 0.7539 0.9309  2 Ni 2.34
6 Ni 0.2500 0.2539 0.5691  2 Ni 2.34
7 Ni 0.2500 0.6445 0.3371  2 Ni 2.34, 2 Mg 2.57-2.61
8 Ni 0.2500 0.1445 0.1629  2 Ni 2.34, 2 Mg 2.57-2.61
9 Sm 0.7500 0.8528 0.1387  9 Ni 2.97-3.22
10 Sm 0.7500 0.3528 0.3613  9 Ni 2.97-3.22
11 Sm 0.2500 0.1472 0.8613  9 Ni 2.97-3.22
12 Sm 0.2500 0.6472 0.6387  9 Ni 2.97-3.22
13 Mg 0.7500 0.0158 0.6074  5 Ni 2.57-2.72
14 Mg 0.2500 0.4842 0.1074  5 Ni 2.57-2.72
15 Mg 0.2500 0.9842 0.3926  5 Ni 2.57-2.72
16 Mg 0.7500 0.5158 0.8926  5 Ni 2.57-2.72

***

# SmMg3Ni8

SmMg3Ni8 after structural relaxation (PBE, Alexandria).

Results
* E_tot: -59.16 eV/cell
* ΔH_f (0 K): -0.2842 eV/atom
* magnetization: 0.00 μB per formula unit
* volume: 167.4 Å³/cell

Cell lengths 8.5314, 8.5314, 8.5314 Å; angles 33.38, 33.38, 33.38 degrees
Last column: nearest neighbours and their distance in Å.
Fractional positions:
1 Ni 0.0662 0.5647 0.5647  6 Ni 2.42-2.52
2 Ni 0.0626 0.0626 0.5577  6 Ni 2.43-2.48
3 Ni 0.0626 0.5577 0.0626  6 Ni 2.43-2.48
4 Ni 0.8131 0.8131 0.8131  6 Ni 2.42-2.43
5 Ni 0.5577 0.0626 0.0626  6 Ni 2.43-2.48
6 Ni 0.5647 0.0662 0.5647  6 Ni 2.42-2.52
7 Ni 0.5647 0.5647 0.0662  6 Ni 2.42-2.52
8 Ni 0.3121 0.3121 0.3121  6 Ni 2.48-2.52
9 Mg 0.1297 0.1297 0.1297  12 Ni 2.75-2.90, 3 Mg 2.95
10 Mg 0.6172 0.6172 0.6172  12 Ni 2.80-3.11, 1 Mg 2.87, 3 Sm 3.08
11 Mg 0.4982 0.4982 0.4982  12 Ni 2.79-2.88, 4 Mg 2.87-2.95
12 Sm 0.0013 0.0013 0.0013  12 Ni 2.88-2.95, 4 Mg 3.08-3.10

***

# Sm3Mg2Ni3

Sm3Mg2Ni3 after structural relaxation (PBE, Alexandria).

Results
* E_tot: -73.70 eV/cell
* ΔH_f (0 K): -0.2702 eV/atom
* magnetization: 0.00 μB per formula unit
* volume: 337.0 Å³/cell

Cell lengths 5.7467, 8.2287, 8.2287 Å; angles 120.00, 90.00, 90.00 degrees
Last column: nearest neighbours and their distance in Å.
Fractional positions:
1 Ni 0.7500 0.0000 0.6050  5 Sm 2.74-3.05, 4 Mg 2.91
2 Ni 0.2500 0.3950 0.0000  5 Sm 2.74-3.05, 4 Mg 2.91
3 Ni 0.7500 0.6050 0.0000  5 Sm 2.74-3.05, 4 Mg 2.91
4 Ni 0.7500 0.3950 0.3950  5 Sm 2.74-3.05, 4 Mg 2.91
5 Ni 0.2500 0.6050 0.6050  5 Sm 2.74-3.05, 4 Mg 2.91
6 Ni 0.2500 0.0000 0.3950  5 Sm 2.74-3.05, 4 Mg 2.91
7 Sm 0.2500 0.7281 0.0000  5 Ni 2.74-3.05
8 Sm 0.7500 0.7281 0.7281  5 Ni 2.74-3.05
9 Sm 0.7500 0.2719 0.0000  5 Ni 2.74-3.05
10 Sm 0.2500 0.2719 0.2719  5 Ni 2.74-3.05
11 Sm 0.7500 0.0000 0.2719  5 Ni 2.74-3.05
12 Sm 0.2500 0.0000 0.7281  5 Ni 2.74-3.05
13 Mg 0.0000 0.3333 0.6667  2 Mg 2.87, 6 Ni 2.91
14 Mg 0.5000 0.3333 0.6667  2 Mg 2.87, 6 Ni 2.91
15 Mg 0.0000 0.6667 0.3333  2 Mg 2.87, 6 Ni 2.91
16 Mg 0.5000 0.6667 0.3333  2 Mg 2.87, 6 Ni 2.91

***

# Sm3MgNi

Sm3MgNi after structural relaxation (PBE, Alexandria).

Results
* E_tot: -43.92 eV/cell
* ΔH_f (0 K): -0.0853 eV/atom
* magnetization: 0.00 μB per formula unit
* volume: 280.0 Å³/cell

Cell lengths 3.6873, 9.6939, 7.9816 Å; angles 88.84, 90.00, 100.96 degrees
Last column: nearest neighbours and their distance in Å.
Fractional positions:
1 Ni 0.4376 0.8751 0.4263  1 Ni 2.67, 7 Sm 2.86-2.88
2 Ni 0.5624 0.1249 0.5737  1 Ni 2.67, 7 Sm 2.86-2.88
3 Sm 0.1765 0.3529 0.5972  2 Ni 2.86
4 Sm 0.5931 0.1862 0.9225  1 Ni 2.86
5 Sm 0.8235 0.6471 0.4028  2 Ni 2.86
6 Sm 0.9580 0.9159 0.6988  4 Ni 2.88
7 Sm 0.0420 0.0841 0.3012  4 Ni 2.88
8 Sm 0.4069 0.8138 0.0775  1 Ni 2.86
9 Mg 0.7830 0.5661 0.8555  2 Mg 3.19, 5 Sm 3.45-3.53
10 Mg 0.2170 0.4339 0.1445  2 Mg 3.19, 5 Sm 3.45-3.53